A geometry-optimized LiIn2W structure. Source: Alexandria via LeMat-Bulk, functional PBE-GGA.

Computed properties:
The calculation puts the relative energy among the computed polymorphs at 302.1 meV/atom. The density of states at the Fermi level comes out at 4.03 states/eV/cell. The value obtained for the formation energy is 2.16 eV per formula unit.

```
data_LiIn2W
_chemical_formula_sum 'Li2 In4 W2'
_symmetry_space_group_name_H-M 'I m m m'
_symmetry_Int_Tables_number 71
_symmetry_space_group_name_Hall '-I 2 2'
_cell_length_a 3.0696
_cell_length_b 5.1586
_cell_length_c 9.3308
_cell_angle_alpha 90.00
_cell_angle_beta 90.00
_cell_angle_gamma 90.00
loop_
_atom_site_label
_atom_site_type_symbol
_atom_site_fract_x
_atom_site_fract_y
_atom_site_fract_z
Li1 Li 0.0000 0.0000 0.0000
In1 In 0.0000 0.5000 0.2650
W1 W 0.0000 0.0000 0.5000
```



A geometry-optimized Li2YIn4 structure. Source: Alexandria via LeMat-Bulk, functional PBE-GGA.

Computed properties:
The density of states at the Fermi level comes out at 9.93 states/eV/cell. The value obtained for the formation energy is 0.30 eV per formula unit.

```
data_Li2YIn4
_chemical_formula_sum 'Li4 Y2 In8'
_symmetry_space_group_name_H-M 'I 4/m m m'
_symmetry_Int_Tables_number 139
_symmetry_space_group_name_Hall '-I 4 2'
_cell_length_a 5.8259
_cell_length_b 5.8259
_cell_length_c 11.5708
_cell_angle_alpha 90.00
_cell_angle_beta 90.00
_cell_angle_gamma 90.00
loop_
_atom_site_label
_atom_site_type_symbol
_atom_site_fract_x
_atom_site_fract_y
_atom_site_fract_z
Li1 Li 0.0000 0.0000 0.1318
Y1 Y 0.0000 0.0000 0.5000
In1 In 0.0000 0.5000 0.0000
In2 In 0.0000 0.5000 0.2500
```



A geometry-optimized Li2Y2In structure. Source: Alexandria via LeMat-Bulk, functional PBE-GGA.

Computed properties:
The calculation puts the relative energy among the computed polymorphs at 0.0 meV/atom. The density of states at the Fermi level comes out at 6.93 states/eV/cell. The value obtained for the formation energy is -0.67 eV per formula unit.

```
data_Li2Y2In
_chemical_formula_sum 'Li4 Y4 In2'
_symmetry_space_group_name_H-M 'P 4/m b m'
_symmetry_Int_Tables_number 127
_symmetry_space_group_name_Hall '-P 4 2ab'
_cell_length_a 7.0570
_cell_length_b 7.0570
_cell_length_c 4.8026
_cell_angle_alpha 90.00
_cell_angle_beta 90.00
_cell_angle_gamma 90.00
loop_
_atom_site_label
_atom_site_type_symbol
_atom_site_fract_x
_atom_site_fract_y
_atom_site_fract_z
Li1 Li 0.1264 0.3736 0.0000
Y1 Y 0.1870 0.6870 0.5000
In1 In 0.0000 0.0000 0.0000
```



A geometry-optimized LiYIn structure. Source: Alexandria via LeMat-Bulk, functional PBE-GGA.

Computed properties:
The calculation puts the relative energy among the computed polymorphs at 292.8 meV/atom. The density of states at the Fermi level comes out at 2.84 states/eV/cell. The value obtained for the formation energy is -0.18 eV per formula unit.

```
data_LiYIn
_chemical_formula_sum 'Li1 Y1 In1'
_symmetry_space_group_name_H-M 'P 3 m 1'
_symmetry_Int_Tables_number 156
_symmetry_space_group_name_Hall 'P 3 -2"'
_cell_length_a 3.4634
_cell_length_b 3.4634
_cell_length_c 7.5624
_cell_angle_alpha 90.00
_cell_angle_beta 90.00
_cell_angle_gamma 120.00
loop_
_atom_site_label
_atom_site_type_symbol
_atom_site_fract_x
_atom_site_fract_y
_atom_site_fract_z
Li1 Li 0.0000 0.0000 0.0000
Y1 Y 0.6667 0.3333 0.3624
In1 In 0.3333 0.6667 0.7106
```